1.
LiLa4Mo | PBE-GGA | relaxed

Values from the calculation:
Uncorrected energy (eV/f.u.): -27.23
Formation energy (meV per atom): 870
Space group: F-43m (216)

Lattice parameters (Å, degrees): 6.4511 6.4511 6.4511 60.00 60.00 60.00
Closest atoms and distances in Å follow each position.
Fractional positions:
La  0.8817  0.3728  0.3728  6 La 3.17-3.28
La  0.3728  0.3728  0.3728  6 La 3.17-3.28
Li  0.7500  0.7500  0.7500  12 La 3.79, 4 Mo 3.95
La  0.3728  0.8817  0.3728  6 La 3.17-3.28
Mo  0.0000  0.0000  0.0000  12 La 3.78, 4 Li 3.95
La  0.3728  0.3728  0.8817  6 La 3.17-3.28

2.
LiLaMo | PBE-GGA | relaxed

Values from the calculation:
Uncorrected energy (eV/f.u.): -15.92
Energy above the lowest structure with this stoichiometry (meV/atom): 11
Formation energy (meV per atom): 584
Space group: I4mm (107)

Lattice parameters (Å, degrees): 7.8694 7.8694 7.8694 158.92 158.92 29.99
Closest atoms and distances in Å follow each position.
Fractional positions:
Li  0.3137  0.3137  0.0000  4 Li 2.88, 4 Mo 2.91
Mo  0.6772  0.6772  0.0000  4 Mo 2.88, 4 Li 2.91
La  0.0091  0.0091  0.0000  4 La 2.88

3.
LiLaMo2 | PBE-GGA | relaxed

Values from the calculation:
Uncorrected energy (eV/f.u.): -25.78
Energy above the lowest structure with this stoichiometry (meV/atom): 348
Formation energy (meV per atom): 680
Space group: Pmmm (47)

Lattice parameters (Å, degrees): 2.7264 4.5973 6.1794 90.00 90.00 90.00
Closest atoms and distances in Å follow each position.
Fractional positions:
Mo  0.0000  0.0000  0.5510  3 Mo 2.46-2.73
Mo  0.0000  0.0000  0.9490  3 Mo 2.46-2.73
Li  0.5000  0.5000  0.7500  2 Li 2.73, 8 Mo 2.94
La  0.5000  0.5000  0.2500  2 La 2.73

4.
LiLaMo2 | PBE-GGA | relaxed

Values from the calculation:
Uncorrected energy (eV/f.u.): -26.19
Energy above the lowest structure with this stoichiometry (meV/atom): 246
Formation energy (meV per atom): 578
Space group: C2/m (12)

Lattice parameters (Å, degrees): 5.2493 5.2493 4.6651 77.20 77.20 37.24
Closest atoms and distances in Å follow each position.
Fractional positions:
La  0.7500  0.7500  0.7500  4 Li 2.87, 6 Mo 3.03-3.10
Li  0.2500  0.2500  0.2500  4 La 2.87, 6 Mo 2.91-2.95
Mo  0.5075  0.5075  0.4586  2 Mo 2.60
Mo  0.9925  0.9925  0.0414  2 Mo 2.60

5.
LiLaMo2 | PBE-GGA | relaxed

Values from the calculation:
Uncorrected energy (eV/f.u.): -26.55
Energy above the lowest structure with this stoichiometry (meV/atom): 155
Formation energy (meV per atom): 488
Space group: F-43m (216)

Lattice parameters (Å, degrees): 4.7374 4.7374 4.7374 60.00 60.00 60.00
Closest atoms and distances in Å follow each position.
Fractional positions:
La  0.5000  0.5000  0.5000  4 Mo 2.90, 4 Li 2.90
Mo  0.7500  0.7500  0.7500  4 La 2.90, 4 Mo 2.90
Li  0.2500  0.2500  0.2500  4 La 2.90, 4 Mo 2.90
Mo  0.0000  0.0000  0.0000  4 Mo 2.90, 4 Li 2.90

6.
LiLaMo2 | PBE-GGA | relaxed

Values from the calculation:
Uncorrected energy (eV/f.u.): -26.00
Energy above the lowest structure with this stoichiometry (meV/atom): 293
Formation energy (meV per atom): 626
Space group: P2/m (10)

Lattice parameters (Å, degrees): 5.2339 2.8073 5.2508 83.31 90.00 90.00
Closest atoms and distances in Å follow each position.
Fractional positions:
Mo  0.0000  0.5818  0.4930  3 Mo 2.62-2.81
La  0.5000  0.2500  0.2500  2 La 2.81, 4 Li 2.83-3.12, 4 Mo 3.10
Mo  0.0000  0.9182  0.0070  3 Mo 2.62-2.81
Li  0.5000  0.7500  0.7500  2 Li 2.81, 4 La 2.83-3.12, 4 Mo 3.01